DFT (PBE-GGA) results for crystalline Si2AgPb at its relaxed geometry.

- Raw total energy: -3.785 eV/atom
- Volume: 20.6 A^3/atom
- DOS(E_F): 0.35 states/eV/atom
- Theoretical density: 7.469 g/cm³

Lattice parameters (Å, degrees): 5.190 5.190 5.190 128.85 128.85 75.24
Fractional positions:
Si 0.250 0.750 0.500
Si 0.000 0.000 0.000
Pb 0.750 0.250 0.500
Ag 0.500 0.500 0.000

DFT (PBE-GGA) results for crystalline SiAgPb at its relaxed geometry.

- Raw total energy: -3.699 eV/atom
- Volume: 23.1 A^3/atom
- DOS(E_F): 0.32 states/eV/atom
- Theoretical density: 8.224 g/cm³

Lattice parameters (Å, degrees): 4.418 4.418 4.100 90.00 90.00 120.00
Fractional positions:
Si 0.333 0.667 0.834
Ag 0.000 0.000 0.833
Pb 0.667 0.333 0.333

DFT (PBE-GGA) results for crystalline Si2AgPb at its relaxed geometry.

- Raw total energy: -3.791 eV/atom
- Volume: 20.8 A^3/atom
- DOS(E_F): 0.37 states/eV/atom
- Theoretical density: 7.416 g/cm³

Lattice parameters (Å, degrees): 4.848 4.141 4.141 90.00 90.00 90.00
Fractional positions:
Si 0.000 0.500 0.500
Si 0.000 0.000 0.000
Pb 0.500 0.000 0.500
Ag 0.500 0.500 0.000

DFT (PBE-GGA) results for crystalline SiAgPb3 at its relaxed geometry.

- Raw total energy: -3.136 eV/atom
- Volume: 32.4 A^3/atom
- DOS(E_F): 0.49 states/eV/atom
- Theoretical density: 7.756 g/cm³

Lattice parameters (Å, degrees): 5.454 5.454 5.454 90.00 90.00 90.00
Fractional positions:
Ag 0.000 0.000 0.000
Pb 0.000 0.500 0.000
Pb 0.500 0.000 0.000
Pb 0.000 0.000 0.500
Si 0.500 0.500 0.500

DFT (PBE-GGA) results for crystalline Si2AgPb at its relaxed geometry.

- Raw total energy: -3.931 eV/atom
- Volume: 22.3 A^3/atom
- DOS(E_F): 0.53 states/eV/atom
- Theoretical density: 6.899 g/cm³

Lattice parameters (Å, degrees): 4.388 4.388 9.786 77.04 77.04 90.00
Fractional positions:
Ag 0.250 0.750 0.500
Ag 0.500 0.500 0.000
Si 0.515 0.125 0.250
Si 0.375 0.485 0.750
Si 0.875 0.765 0.750
Si 0.235 0.625 0.250
Pb 0.000 0.000 0.000
Pb 0.750 0.250 0.500

DFT (PBE-GGA) results for crystalline Si3AgPb at its relaxed geometry.

- Raw total energy: -3.624 eV/atom
- Volume: 23.9 A^3/atom
- DOS(E_F): 0.56 states/eV/atom
- Theoretical density: 5.539 g/cm³

Lattice parameters (Å, degrees): 4.928 4.928 4.928 90.00 90.00 90.00
Fractional positions:
Si 0.000 0.000 0.500
Si 0.500 0.000 0.000
Si 0.000 0.500 0.000
Ag 0.000 0.000 0.000
Pb 0.500 0.500 0.500

DFT (PBE-GGA) results for crystalline Si2AgPb at its relaxed geometry.

- Raw total energy: -4.022 eV/atom
- Volume: 20.9 A^3/atom
- DOS(E_F): 0.34 states/eV/atom
- Theoretical density: 7.375 g/cm³

Lattice parameters (Å, degrees): 3.528 3.248 7.334 84.07 90.00 90.00
Fractional positions:
Si 0.000 0.832 0.095
Si 0.500 0.309 0.198
Ag 0.000 0.465 0.463
Pb 0.500 0.894 0.744

DFT (PBE-GGA) results for crystalline SiAgPb3 at its relaxed geometry.

- Raw total energy: -3.265 eV/atom
- Volume: 31.6 A^3/atom
- DOS(E_F): 0.70 states/eV/atom
- Theoretical density: 7.969 g/cm³

Lattice parameters (Å, degrees): 5.404 5.404 5.404 90.00 90.00 90.00
Fractional positions:
Pb 0.500 0.000 0.000
Pb 0.000 0.000 0.500
Pb 0.000 0.500 0.000
Ag 0.500 0.500 0.500
Si 0.000 0.000 0.000

DFT (PBE-GGA) results for crystalline Si2Ag2Pb at its relaxed geometry.

- Raw total energy: -3.834 eV/atom
- Volume: 20.3 A^3/atom
- DOS(E_F): 0.49 states/eV/atom
- Theoretical density: 7.823 g/cm³

Lattice parameters (Å, degrees): 4.337 4.337 6.215 69.58 69.58 90.00
Fractional positions:
Si 0.392 0.392 0.216
Si 0.608 0.608 0.784
Pb 0.000 0.000 0.000
Ag 0.750 0.250 0.500
Ag 0.250 0.750 0.500

DFT (PBE-GGA) results for crystalline Si2Ag2Pb at its relaxed geometry.

- Raw total energy: -3.764 eV/atom
- Volume: 20.4 A^3/atom
- DOS(E_F): 0.40 states/eV/atom
- Theoretical density: 7.797 g/cm³

Lattice parameters (Å, degrees): 3.505 3.505 8.666 78.33 78.33 90.00
Fractional positions:
Si 0.250 0.750 0.500
Si 0.750 0.250 0.500
Ag 0.381 0.381 0.238
Ag 0.619 0.619 0.762
Pb 0.000 0.000 0.000

DFT (PBE-GGA) results for crystalline SiAgPb at its relaxed geometry.

- Raw total energy: -3.611 eV/atom
- Volume: 22.4 A^3/atom
- DOS(E_F): 0.43 states/eV/atom
- Theoretical density: 8.461 g/cm³

Lattice parameters (Å, degrees): 3.432 3.432 6.601 90.00 90.00 120.00
Fractional positions:
Pb 0.667 0.333 0.340
Si 0.333 0.667 0.701
Ag 0.000 0.000 0.959

DFT (PBE-GGA) results for crystalline Si2AgPb at its relaxed geometry.

- Raw total energy: -4.003 eV/atom
- Volume: 21.9 A^3/atom
- DOS(E_F): 0.27 states/eV/atom
- Theoretical density: 7.030 g/cm³

Lattice parameters (Å, degrees): 4.690 4.690 5.620 76.28 76.28 47.25
Fractional positions:
Pb 0.250 0.250 0.250
Si 0.014 0.014 0.891
Si 0.486 0.486 0.609
Ag 0.750 0.750 0.750

DFT (PBE-GGA) results for crystalline SiAgPb at its relaxed geometry.

- Raw total energy: -3.637 eV/atom
- Volume: 21.9 A^3/atom
- DOS(E_F): 0.31 states/eV/atom
- Theoretical density: 8.675 g/cm³

Lattice parameters (Å, degrees): 6.708 6.709 3.227 76.07 76.10 27.83
Fractional positions:
Si 0.642 0.642 0.358
Pb 0.333 0.333 0.667
Ag 0.025 0.025 0.975

DFT (PBE-GGA) results for crystalline Si2AgPb2 at its relaxed geometry.

- Raw total energy: -3.965 eV/atom
- Volume: 23.0 A^3/atom
- DOS(E_F): 0.42 states/eV/atom
- Theoretical density: 8.367 g/cm³

Lattice parameters (Å, degrees): 3.502 3.502 9.682 79.58 79.58 90.00
Fractional positions:
Pb 0.606 0.606 0.788
Pb 0.394 0.394 0.212
Si 0.250 0.750 0.500
Si 0.750 0.250 0.500
Ag 0.000 0.000 0.000

DFT (PBE-GGA) results for crystalline SiAgPb at its relaxed geometry.

- Raw total energy: -3.610 eV/atom
- Volume: 24.2 A^3/atom
- DOS(E_F): 0.73 states/eV/atom
- Theoretical density: 7.863 g/cm³

Lattice parameters (Å, degrees): 4.680 4.680 4.680 60.00 60.00 60.00
Fractional positions:
Ag 0.000 0.000 0.000
Pb 0.500 0.500 0.500
Si 0.250 0.250 0.250

DFT (PBE-GGA) results for crystalline Si2AgPb at its relaxed geometry.

- Raw total energy: -3.817 eV/atom
- Volume: 21.0 A^3/atom
- DOS(E_F): 0.26 states/eV/atom
- Theoretical density: 7.349 g/cm³

Lattice parameters (Å, degrees): 10.504 10.504 10.504 16.74 16.74 16.74
Fractional positions:
Ag 0.250 0.250 0.250
Si 0.513 0.513 0.513
Si 0.987 0.987 0.987
Pb 0.750 0.750 0.750

DFT (PBE-GGA) results for crystalline SiAg4Pb at its relaxed geometry.

- Raw total energy: -3.146 eV/atom
- Volume: 20.6 A^3/atom
- DOS(E_F): 0.19 states/eV/atom
- Theoretical density: 8.979 g/cm³

Lattice parameters (Å, degrees): 5.587 5.587 5.587 60.00 60.00 60.00
Fractional positions:
Ag 0.375 0.375 0.375
Ag 0.375 0.876 0.375
Ag 0.375 0.375 0.876
Ag 0.876 0.375 0.375
Si 0.000 0.000 0.000
Pb 0.750 0.750 0.750

DFT (PBE-GGA) results for crystalline Si2AgSnPb at its relaxed geometry.

- Raw total energy: -3.530 eV/atom
- Volume: 26.4 A^3/atom
- DOS(E_F): 0.71 states/eV/atom
- Theoretical density: 6.161 g/cm³

Lattice parameters (Å, degrees): 4.873 5.562 4.873 90.00 90.00 90.00
Fractional positions:
Si 0.000 0.000 0.500
Si 0.500 0.000 0.000
Sn 0.000 0.500 0.000
Pb 0.500 0.500 0.500
Ag 0.000 0.000 0.000

DFT (PBE-GGA) results for crystalline SiAgSn2Pb at its relaxed geometry.

- Raw total energy: -3.460 eV/atom
- Volume: 28.9 A^3/atom
- DOS(E_F): 0.52 states/eV/atom
- Theoretical density: 6.679 g/cm³

Lattice parameters (Å, degrees): 5.540 4.703 5.540 90.00 90.00 90.00
Fractional positions:
Ag 0.000 0.000 0.000
Si 0.000 0.500 0.000
Sn 0.000 0.000 0.500
Sn 0.500 0.000 0.000
Pb 0.500 0.500 0.500

DFT (PBE-GGA) results for crystalline SiTcAg2Pb at its relaxed geometry.

- Raw total energy: -4.271 eV/atom
- Volume: 24.3 A^3/atom
- DOS(E_F): 0.81 states/eV/atom
- Theoretical density: 7.512 g/cm³

Lattice parameters (Å, degrees): 5.171 4.538 5.171 90.00 90.00 90.00
Fractional positions:
Si 0.000 0.500 0.000
Ag 0.500 0.000 0.000
Ag 0.000 0.000 0.500
Tc 0.000 0.000 0.000
Pb 0.500 0.500 0.500

DFT (PBE-GGA) results for crystalline SiAg2Te4Pb at its relaxed geometry.

- Raw total energy: -3.547 eV/atom
- Volume: 33.9 A^3/atom
- Theoretical density: 5.880 g/cm³

Lattice parameters (Å, degrees): 6.769 6.769 7.478 113.69 113.69 96.44
Fractional positions:
Te 0.587 0.587 0.727
Te 0.140 0.140 0.727
Te 0.824 0.414 0.239
Te 0.414 0.824 0.239
Ag 0.755 0.255 0.511
Ag 0.255 0.755 0.511
Si 0.498 0.498 0.996
Pb 0.026 0.026 0.052

DFT (PBE-GGA) results for crystalline Sm2AgPb2 at its relaxed geometry.

- Raw total energy: -4.323 eV/atom
- Volume: 28.4 A^3/atom
- DOS(E_F): 0.46 states/eV/atom
- E_form: -382 meV/atom
- Theoretical density: 9.633 g/cm³

Lattice parameters (Å, degrees): 5.017 6.619 8.904 90.00 106.37 90.00
Fractional positions:
Pb 0.590 0.985 0.179
Pb 0.829 0.969 0.657
Pb 0.410 0.485 0.821
Pb 0.171 0.469 0.343
Sm 0.785 0.464 0.570
Sm 0.000 0.230 0.999
Sm 0.215 0.964 0.430
Sm 0.000 0.730 0.001
Ag 0.585 0.487 0.170
Ag 0.415 0.987 0.830

DFT (PBE-GGA) results for crystalline Sm6Ag5Pb at its relaxed geometry.

- Raw total energy: -4.167 eV/atom
- Volume: 26.3 A^3/atom
- DOS(E_F): 0.98 states/eV/atom
- E_form: -311 meV/atom
- Theoretical density: 8.672 g/cm³

Lattice parameters (Å, degrees): 5.284 7.525 9.175 114.21 106.73 90.00
Fractional positions:
Sm 0.170 0.915 0.340
Sm 0.500 0.741 0.000
Sm 0.170 0.424 0.340
Sm 0.830 0.085 0.660
Sm 0.830 0.576 0.660
Sm 0.500 0.259 0.000
Ag 0.667 0.667 0.334
Ag 0.333 0.333 0.666
Ag 0.334 0.834 0.667
Ag 0.000 0.500 0.000
Ag 0.666 0.166 0.333
Pb 0.000 0.000 0.000

DFT (PBE-GGA) results for crystalline SmAgPb2 at its relaxed geometry.

- Raw total energy: -3.897 eV/atom
- Volume: 27.0 A^3/atom
- DOS(E_F): 0.16 states/eV/atom
- E_form: -151 meV/atom
- Theoretical density: 10.349 g/cm³

Lattice parameters (Å, degrees): 5.344 5.344 5.344 60.00 60.00 60.00
Fractional positions:
Pb 0.250 0.250 0.250
Pb 0.750 0.750 0.750
Ag 0.000 0.000 0.000
Sm 0.500 0.500 0.500

DFT (PBE-GGA) results for crystalline Sm8Ag2Pb at its relaxed geometry.

- Raw total energy: -4.468 eV/atom
- Volume: 30.1 A^3/atom
- DOS(E_F): 0.98 states/eV/atom
- E_form: -180 meV/atom
- Theoretical density: 8.166 g/cm³

Lattice parameters (Å, degrees): 5.318 8.506 8.745 117.21 107.70 90.00
Fractional positions:
Sm 0.401 0.539 0.801
Sm 0.851 0.789 0.702
Sm 0.149 0.211 0.298
Sm 0.686 0.964 0.373
Sm 0.314 0.036 0.627
Sm 0.064 0.727 0.129
Sm 0.936 0.273 0.871
Sm 0.599 0.461 0.199
Ag 0.215 0.619 0.430
Ag 0.785 0.381 0.570
Pb 0.500 0.000 0.000

DFT (PBE-GGA) results for crystalline Sm3AgPb3 at its relaxed geometry.

- Raw total energy: -4.480 eV/atom
- Volume: 28.8 A^3/atom
- DOS(E_F): 0.60 states/eV/atom
- E_form: -461 meV/atom
- Theoretical density: 9.715 g/cm³

Lattice parameters (Å, degrees): 4.689 6.357 14.789 82.90 80.88 68.35
Fractional positions:
Sm 0.403 0.271 0.922
Sm 0.529 0.324 0.618
Sm 0.730 0.768 0.772
Sm 0.471 0.676 0.382
Sm 0.270 0.232 0.228
Sm 0.597 0.729 0.078
Pb 0.133 0.809 0.925
Pb 0.007 0.217 0.770
Pb 0.141 0.267 0.452
Pb 0.867 0.191 0.075
Pb 0.993 0.783 0.230
Pb 0.859 0.733 0.548
Ag 0.226 0.930 0.617
Ag 0.774 0.070 0.383

DFT (PBE-GGA) results for crystalline SmAg2Pb2 at its relaxed geometry.

- Raw total energy: -3.805 eV/atom
- Volume: 24.8 A^3/atom
- DOS(E_F): 0.44 states/eV/atom
- E_form: -238 meV/atom
- Theoretical density: 10.432 g/cm³

Lattice parameters (Å, degrees): 4.606 4.595 11.962 90.00 101.10 90.00
Fractional positions:
Ag 0.037 0.750 0.075
Ag 0.537 0.250 0.074
Ag 0.463 0.750 0.926
Ag 0.963 0.250 0.925
Sm 0.637 0.750 0.275
Sm 0.363 0.250 0.725
Pb 0.250 0.750 0.501
Pb 0.120 0.250 0.241
Pb 0.750 0.250 0.499
Pb 0.880 0.750 0.759